1.
Entry from Alexandria via LeMat-Bulk: crystalline ScBiS2 at its relaxed geometry (GGA-PBE).

Results
crystal system: orthorhombic
symmetry: Cmcm
raw total energy: -42.63 eV per cell
N(E_F): 0.026 states/eV/atom

Cell and atoms, written as CIF:
```
data_ScBiS2
_chemical_formula_sum 'Sc2 Bi2 S4'
_symmetry_space_group_name_H-M 'P 1'
_symmetry_Int_Tables_number 1
_cell_length_a 10.0074
_cell_length_b 10.0074
_cell_length_c 4.8670
_cell_angle_alpha 90.00
_cell_angle_beta 90.00
_cell_angle_gamma 154.79
loop_
_symmetry_equiv_pos_as_xyz
'x,y,z'
loop_
_atom_site_label
_atom_site_fract_x
_atom_site_fract_y
_atom_site_fract_z
Bi1 0.6496 0.3504 0.7500
Bi2 0.3504 0.6496 0.2500
S1 0.9454 0.0546 0.2500
S2 0.2081 0.7919 0.2500
S3 0.7919 0.2081 0.7500
S4 0.0546 0.9454 0.7500
Sc1 0.9112 0.0888 0.7500
Sc2 0.0888 0.9112 0.2500
```



2.
Entry from Alexandria via LeMat-Bulk: crystalline Pb2WBr at its relaxed geometry (GGA-PBE).

Results
crystal system: tetragonal
symmetry: P4/mmm
raw total energy: -19.61 eV per cell
N(E_F): 0.613 states/eV/atom

Cell and atoms, written as CIF:
```
data_Pb2WBr
_chemical_formula_sum 'Pb2 W1 Br1'
_symmetry_space_group_name_H-M 'P 1'
_symmetry_Int_Tables_number 1
_cell_length_a 3.0554
_cell_length_b 3.0554
_cell_length_c 11.2214
_cell_angle_alpha 90.00
_cell_angle_beta 90.00
_cell_angle_gamma 90.00
loop_
_symmetry_equiv_pos_as_xyz
'x,y,z'
loop_
_atom_site_label
_atom_site_fract_x
_atom_site_fract_y
_atom_site_fract_z
Pb1 0.0000 0.0000 0.0418
Pb2 0.0000 0.0000 0.4582
W1 0.5000 0.5000 0.2500
Br1 0.5000 0.5000 0.7500
```